(1)
! RbTaFeGeTe (PBE-GGA, relaxed); values from VASP
! Uncorrected energy, Ry/atom: -0.4366
! Total magnetic moment, μB per atom: 0.221
! Raw formation energy, eV/atom: -0.132
! Energy relative to the lowest polymorph listed for this composition, meV/atom: 159.1
&SYSTEM
  ibrav = 0, nat = 5, ntyp = 5
/
ATOMIC_SPECIES
Rb 85.47 Rb.upf
Ta 180.95 Ta.upf
Fe 55.84 Fe.upf
Ge 72.64 Ge.upf
Te 127.60 Te.upf
ATOMIC_POSITIONS crystal
Rb 0.000 0.000 0.000
Ta 0.000 0.000 0.485
Fe 0.333 0.667 0.351
Ge 0.667 0.333 0.311
Te 0.667 0.333 0.690
CELL_PARAMETERS angstrom
4.006 0.000 0.000
-2.003 3.469 0.000
0.000 0.000 9.023

(2)
! CaAc6Mg2 (PBE-GGA, relaxed); values from VASP
! Uncorrected energy, Ry/atom: -0.2448
! Total magnetic moment, μB per atom: 0.000
! Formation energy, meV/atom: -16
&SYSTEM
  ibrav = 0, nat = 9, ntyp = 3
/
ATOMIC_SPECIES
Ca 40.08 Ca.upf
Ac 227.00 Ac.upf
Mg 24.30 Mg.upf
ATOMIC_POSITIONS crystal
Ca 0.000 0.000 0.000
Ac 0.022 0.022 0.337
Ac 0.311 0.311 0.411
Ac 0.315 0.315 0.124
Ac 0.685 0.685 0.876
Ac 0.689 0.689 0.589
Ac 0.978 0.978 0.663
Mg 0.355 0.355 0.801
Mg 0.645 0.645 0.199
CELL_PARAMETERS angstrom
7.046 -2.046 0.000
7.046 2.046 0.000
-4.249 0.000 12.570

(3)
! ThCoH3 (PBE-GGA, relaxed); values from VASP
! Uncorrected energy, Ry/atom: -0.3845
! Total magnetic moment, μB per atom: 0.000
&SYSTEM
  ibrav = 0, nat = 5, ntyp = 3
/
ATOMIC_SPECIES
Th 232.04 Th.upf
Co 58.93 Co.upf
H 1.01 H.upf
ATOMIC_POSITIONS crystal
Th 0.000 0.000 0.000
Co 0.500 0.500 0.500
H 0.000 0.500 0.500
H 0.500 0.000 0.500
H 0.500 0.500 0.000
CELL_PARAMETERS angstrom
3.621 0.000 0.000
0.000 3.621 0.000
0.000 0.000 3.621

(4)
! Ac3Cd7Pt4 (PBE-GGA, relaxed); values from VASP
! Uncorrected energy, Ry/atom: -0.2710
! Total magnetic moment, μB per atom: 0.000
! Formation energy, meV/atom: -623
&SYSTEM
  ibrav = 0, nat = 14, ntyp = 3
/
ATOMIC_SPECIES
Ac 227.00 Ac.upf
Cd 112.41 Cd.upf
Pt 195.08 Pt.upf
ATOMIC_POSITIONS crystal
Ac 0.000 0.000 0.000
Ac 0.301 0.301 0.287
Ac 0.699 0.699 0.713
Cd 0.000 0.000 0.500
Cd 0.164 0.164 0.432
Cd 0.325 0.325 0.992
Cd 0.486 0.486 0.692
Cd 0.514 0.514 0.308
Cd 0.675 0.675 0.008
Cd 0.836 0.836 0.568
Pt 0.113 0.113 0.818
Pt 0.343 0.343 0.749
Pt 0.657 0.657 0.251
Pt 0.887 0.887 0.182
CELL_PARAMETERS angstrom
8.477 -2.241 0.000
8.477 2.241 0.000
-5.999 0.000 8.923

(5)
! LaDyHoHg (PBE-GGA, relaxed); values from VASP
! Uncorrected energy, Ry/atom: -0.2814
! Total magnetic moment, μB per atom: 0.000
! Energy relative to the lowest polymorph listed for this composition, meV/atom: 0.0
! Formation energy, meV/atom: -226
&SYSTEM
  ibrav = 0, nat = 4, ntyp = 4
/
ATOMIC_SPECIES
La 138.91 La.upf
Dy 162.50 Dy.upf
Ho 164.93 Ho.upf
Hg 200.59 Hg.upf
ATOMIC_POSITIONS crystal
La 0.000 0.000 0.000
Dy 0.500 0.500 0.714
Ho 0.500 0.500 0.286
Hg 0.000 0.000 0.497
CELL_PARAMETERS angstrom
3.674 0.000 0.000
0.000 3.674 0.000
0.000 0.000 8.840

(6)
! Zn2CrPb (PBE-GGA, relaxed); values from VASP
! Uncorrected energy, Ry/atom: -0.2629
! Total magnetic moment, μB per atom: 0.859
! Formation energy, meV/atom: 393
&SYSTEM
  ibrav = 0, nat = 4, ntyp = 3
/
ATOMIC_SPECIES
Zn 65.41 Zn.upf
Cr 52.00 Cr.upf
Pb 207.20 Pb.upf
ATOMIC_POSITIONS crystal
Zn 0.000 0.500 0.000
Zn 0.500 0.000 0.000
Cr 0.000 0.000 0.500
Pb 0.500 0.500 0.500
CELL_PARAMETERS angstrom
2.811 -4.030 0.000
2.811 4.030 0.000
0.000 0.000 3.347

(7)
! CaHfSCl2 (PBE-GGA, relaxed); values from VASP
! Uncorrected energy, Ry/atom: -0.3289
! Total magnetic moment, μB per atom: 0.382
! Raw formation energy, eV/atom: -0.520
! Energy relative to the lowest polymorph listed for this composition, meV/atom: 686.6
&SYSTEM
  ibrav = 0, nat = 5, ntyp = 4
/
ATOMIC_SPECIES
Ca 40.08 Ca.upf
Hf 178.49 Hf.upf
S 32.06 S.upf
Cl 35.45 Cl.upf
ATOMIC_POSITIONS crystal
Ca 0.000 0.000 0.000
Hf 0.500 0.500 0.500
S 0.000 0.000 0.500
Cl 0.000 0.500 0.000
Cl 0.500 0.000 0.000
CELL_PARAMETERS angstrom
4.993 0.000 0.000
0.000 4.993 0.000
0.000 0.000 5.553

(8)
! La2Al2Hg5 (PBE-GGA, relaxed); values from VASP
! Uncorrected energy, Ry/atom: -0.1763
! Total magnetic moment, μB per atom: 0.000
! Formation energy, meV/atom: -305
&SYSTEM
  ibrav = 0, nat = 9, ntyp = 3
/
ATOMIC_SPECIES
La 138.91 La.upf
Al 26.98 Al.upf
Hg 200.59 Hg.upf
ATOMIC_POSITIONS crystal
La 0.000 0.000 0.000
La 0.000 0.000 0.500
Al 0.500 0.500 0.120
Al 0.500 0.500 0.880
Hg 0.000 0.500 0.264
Hg 0.000 0.500 0.736
Hg 0.500 0.000 0.264
Hg 0.500 0.000 0.736
Hg 0.500 0.500 0.500
CELL_PARAMETERS angstrom
4.640 0.000 0.000
0.000 4.640 0.000
0.000 0.000 10.495

(9)
! KRb2US6 (PBE-GGA, relaxed); values from VASP
! Uncorrected energy, Ry/atom: -0.3497
! Total magnetic moment, μB per atom: 0.295
! Raw formation energy, eV/atom: -0.849
&SYSTEM
  ibrav = 0, nat = 20, ntyp = 4
/
ATOMIC_SPECIES
K 39.10 K.upf
Rb 85.47 Rb.upf
U 238.03 U.upf
S 32.06 S.upf
ATOMIC_POSITIONS crystal
K 0.000 0.000 0.000
K 0.000 0.500 0.500
Rb 0.263 0.047 0.751
Rb 0.263 0.453 0.251
Rb 0.737 0.547 0.749
Rb 0.737 0.953 0.249
U 0.500 0.000 0.500
U 0.500 0.500 0.000
S 0.213 0.022 0.280
S 0.213 0.478 0.780
S 0.268 0.678 0.032
S 0.268 0.822 0.532
S 0.366 0.241 0.041
S 0.366 0.259 0.541
S 0.634 0.741 0.459
S 0.634 0.759 0.959
S 0.732 0.178 0.468
S 0.732 0.322 0.968
S 0.787 0.522 0.220
S 0.787 0.978 0.720
CELL_PARAMETERS angstrom
7.769 0.000 0.000
0.000 8.023 0.000
-7.709 0.000 11.178

(10)
! LiHo2Sb (PBE-GGA, relaxed); values from VASP
! Uncorrected energy, Ry/atom: -0.3161
! Total magnetic moment, μB per atom: 0.000
! Raw formation energy, eV/atom: -0.503
! Energy relative to the lowest polymorph listed for this composition, meV/atom: 0.0
&SYSTEM
  ibrav = 0, nat = 4, ntyp = 3
/
ATOMIC_SPECIES
Li 6.94 Li.upf
Ho 164.93 Ho.upf
Sb 121.76 Sb.upf
ATOMIC_POSITIONS crystal
Li 0.000 0.000 0.000
Ho 0.000 0.500 0.500
Ho 0.500 0.000 0.500
Sb 0.500 0.500 0.000
CELL_PARAMETERS angstrom
4.854 0.000 0.000
0.000 4.854 0.000
0.000 0.000 4.225